No. 1
Compound: OsAuSeBr2
Source: the Alexandria database
Functional: GGA-PBE
Structure: relaxed

Values from the calculation:
Uncorrected formation energy   0.68 eV/atom
E   -3.5835 eV per atom
Magnetization   0.0 μB/f.u.
Symmetry   P4/mmm (123)

Cell: 5.254 5.254 4.612 Å, 90.00 90.00 90.00°
Atoms (fractional coordinates):
Os 0.000 0.000 0.000
Au 0.500 0.500 0.500
Se 0.000 0.000 0.500
Br 0.000 0.500 0.000
Br 0.500 0.000 0.000



No. 2
Compound: SrInFe2
Source: the Alexandria database
Functional: GGA-PBE
Structure: relaxed

Values from the calculation:
E   -4.5978 eV per atom
Magnetization   0.1 μB/f.u.
Symmetry   I-42d (122)

Cell: 9.689 9.689 9.689 Å, 152.84 152.84 38.79°
Atoms (fractional coordinates):
Sr 0.000 0.000 0.000
Sr 0.750 0.250 0.500
In 0.250 0.750 0.500
In 0.500 0.500 0.000
Fe 0.353 0.625 0.228
Fe 0.375 0.603 0.728
Fe 0.397 0.125 0.772
Fe 0.875 0.647 0.272



No. 3
Compound: Sc2AgAu
Source: the Alexandria database
Functional: GGA-PBE
Structure: relaxed

Values from the calculation:
E   -5.1007 eV per atom
Magnetization   0.0 μB/f.u.
Symmetry   Imm2 (44)

Cell: 5.729 5.729 5.729 Å, 144.06 132.48 60.99°
Atoms (fractional coordinates):
Sc 0.000 0.000 0.000
Sc 0.728 0.228 0.500
Ag 0.258 0.758 0.500
Au 0.496 0.496 0.000



No. 4
Compound: BaScCo
Source: the Alexandria database
Functional: GGA-PBE
Structure: relaxed

Values from the calculation:
E   -5.1131 eV per atom
Magnetization   0.0 μB/f.u.
Symmetry   C2/m (12)

Cell: 5.107 5.107 11.090 Å, 110.93 110.93 45.02°
Atoms (fractional coordinates):
Ba 0.212 0.212 0.181
Ba 0.788 0.788 0.819
Sc 0.387 0.387 0.570
Sc 0.613 0.613 0.430
Co 0.117 0.117 0.584
Co 0.883 0.883 0.416



No. 5
Compound: La3Pm12Sm
Source: the Alexandria database
Functional: GGA-PBE
Structure: relaxed

Values from the calculation:
E   -4.7666 eV per atom
Magnetization   0.0 μB/f.u.
Symmetry   P4/mmm (123)

Cell: 5.189 5.189 20.737 Å, 90.00 90.00 90.00°
Atoms (fractional coordinates):
La 0.000 0.000 0.000
La 0.000 0.000 0.251
La 0.000 0.000 0.749
Pm 0.000 0.500 0.125
Pm 0.000 0.500 0.377
Pm 0.000 0.500 0.623
Pm 0.000 0.500 0.875
Pm 0.500 0.000 0.125
Pm 0.500 0.000 0.377
Pm 0.500 0.000 0.623
Pm 0.500 0.000 0.875
Pm 0.500 0.500 0.000
Pm 0.500 0.500 0.252
Pm 0.500 0.500 0.500
Pm 0.500 0.500 0.748
Sm 0.000 0.000 0.500



No. 6
Compound: Ca2TlCr
Source: the Alexandria database
Functional: GGA-PBE
Structure: relaxed

Values from the calculation:
E   -3.6830 eV per atom
Magnetization   4.7 μB/f.u.
Symmetry   R-3m (166)

Cell: 10.350 10.350 10.350 Å, 20.66 20.66 20.66°
Atoms (fractional coordinates):
Ca 0.250 0.250 0.250
Ca 0.750 0.750 0.750
Tl 0.500 0.500 0.500
Cr 0.000 0.000 0.000



Among the records above, which one has the highest E? OsAuSeBr2



What is the magnetization in the sixth record? 4.7 μB/f.u.



magnetization of number 5 (La3Pm12Sm)? 0.0 μB/f.u.